Computed, not measured: an optimized crystal structure of FeBIO2 at the PBE with a Hubbard U level of DFT.

a b c (Å): 3.739 3.739 6.405
angles (deg): 90.00 90.00 90.00
Element x y z (fractional)
Fe 0.000 0.000 0.000
B 0.500 0.500 0.500
I 0.000 0.000 0.500
O 0.000 0.500 0.000
O 0.500 0.000 0.000

Computed properties:
- Magnetization: 1.0211 μB per atom
- DOS at the Fermi energy: 3.072 states/eV/f.u.
- Calculated total energy: -0.3225 Ry/atom